# 1
DFT (PBE) results for an optimized crystal structure of AuSeBr.

abc: 7.0309 7.0309 7.0309
angles: 150.86 150.86 41.68
With the nearest neighbours (Å) after each atom.
Positions (direct):
Au 0.0000 0.0000 0.0000  4 Se 2.60
Se 0.5528 0.5528 0.0000  4 Au 2.60
Br 0.2688 0.2688 0.0000  5 Au 3.53-3.94, 4 Br 3.54, 5 Se 3.73-3.78

Calculated values
SG: No. 107
Raw total energy, eV/cell: -7.5
Formation energy (no corrections), eV per atom: 0.324



# 2
DFT (PBE) results for an optimized crystal structure of ZnCu2Se.

abc: 2.7624 2.7624 8.3776
angles: 90.00 90.00 90.00
With the nearest neighbours (Å) after each atom.
Positions (direct):
Zn 0.0000 0.0000 0.0000  4 Cu 2.57, 4 Zn 2.76
Cu 0.0000 0.0000 0.3986  8 Cu 2.57-2.76, 4 Se 2.82
Cu 0.5000 0.5000 0.1985  4 Zn 2.57, 8 Cu 2.57-2.76
Se 0.5000 0.5000 0.6418  4 Se 2.76, 4 Cu 2.82

Calculated values
SG: No. 99
Raw total energy, eV/cell: -12.3
Formation energy (no corrections), eV per atom: 0.152
Energy above the lowest structure with this stoichiometry, eV/f.u.: 0.53



# 3
DFT (PBE) results for an optimized crystal structure of MgOsRu.

abc: 4.7644 4.7644 5.3157
angles: 117.38 117.38 59.57
With the nearest neighbours (Å) after each atom.
Positions (direct):
Mg 0.0000 0.0000 0.0000  6 Os 2.72-2.76, 4 Ru 2.75, 2 Mg 2.78
Mg 0.8259 0.1741 0.5000  6 Ru 2.71-2.77, 4 Os 2.74-2.75, 2 Mg 2.78
Os 0.3288 0.3377 0.9987  5 Mg 2.72-2.76, 4 Ru 2.74-2.77, 3 Os 2.74-2.75
Os 0.6623 0.6712 0.0013  5 Mg 2.72-2.76, 4 Ru 2.74-2.77, 3 Os 2.74-2.75
Ru 0.1661 0.5028 0.4990  5 Mg 2.71-2.77, 3 Ru 2.73-2.75, 4 Os 2.74-2.77
Ru 0.4972 0.8339 0.5010  5 Mg 2.71-2.77, 3 Ru 2.73-2.75, 4 Os 2.74-2.77

Calculated values
SG: No. 5
Raw total energy, eV/cell: -43.2
Formation enthalpy at 0 K, eV per atom: 0.16
Energy above the lowest structure with this stoichiometry, eV/f.u.: 0.28



# 4
DFT (PBE) results for an optimized crystal structure of PuScZnHg.

abc: 5.0630 5.0630 5.0630
angles: 60.00 60.00 60.00
With the nearest neighbours (Å) after each atom.
Positions (direct):
Pu 0.0000 0.0000 0.0000  4 Hg 3.10, 4 Zn 3.10
Sc 0.5000 0.5000 0.5000  4 Hg 3.10, 4 Zn 3.10
Zn 0.2500 0.2500 0.2500  4 Sc 3.10, 4 Pu 3.10
Hg 0.7500 0.7500 0.7500  4 Pu 3.10, 4 Sc 3.10

Calculated values
SG: No. 216
Raw total energy, eV/cell: -22.9
Formation enthalpy at 0 K, eV per atom: -0.15



# 5
DFT (PBE) results for an optimized crystal structure of NpVRh.

abc: 4.4767 4.4767 2.7698
angles: 90.00 90.00 120.00
With the nearest neighbours (Å) after each atom.
Positions (direct):
Np 0.0000 0.0000 0.0000  3 V 2.63, 3 Rh 2.75, 2 Np 2.77
V 0.3333 0.6667 0.8194  3 Np 2.63, 2 V 2.77, 3 Rh 2.91
Rh 0.6667 0.3333 0.3391  3 Np 2.75, 2 Rh 2.77, 6 V 2.91-2.96

Calculated values
SG: No. 156
Raw total energy, eV/cell: -29.2
Formation enthalpy at 0 K, eV per atom: 0.07
Energy above the lowest structure with this stoichiometry, eV/f.u.: 0.34



# 6
DFT (PBE) results for an optimized crystal structure of CaDy3Y2Te6.

abc: 9.7993 9.7993 8.7772
angles: 103.22 103.22 25.80
With the nearest neighbours (Å) after each atom.
Positions (direct):
Ca 0.0000 0.0000 0.0000  6 Te 3.11
Dy 0.0000 0.0000 0.5000  6 Te 3.05-3.09
Dy 0.3334 0.3334 0.1752  6 Te 3.05-3.14
Dy 0.6666 0.6666 0.8248  6 Te 3.05-3.14
Y 0.3286 0.3286 0.6573  6 Te 3.05-3.16
Y 0.6714 0.6714 0.3427  6 Te 3.05-3.16
Te 0.1643 0.1643 0.5823  3 Dy 3.05, 3 Y 3.05-3.06
Te 0.1676 0.1676 0.0817  3 Dy 3.08-3.14, 1 Ca 3.11, 2 Y 3.16
Te 0.4984 0.4984 0.7477  3 Dy 3.09-3.12, 2 Ca 3.11, 1 Y 3.15
Te 0.5016 0.5016 0.2523  3 Dy 3.09-3.12, 2 Ca 3.11, 1 Y 3.15
Te 0.8324 0.8324 0.9183  3 Dy 3.08-3.14, 1 Ca 3.11, 2 Y 3.16
Te 0.8357 0.8357 0.4177  3 Dy 3.05, 3 Y 3.05-3.06

Calculated values
SG: No. 12
Raw total energy, eV/cell: -63.8
Formation energy (no corrections), eV per atom: -1.348



# 7
DFT (PBE) results for an optimized crystal structure of Cd3SnAu4.

abc: 5.9397 5.9397 5.9397
angles: 109.47 109.47 109.47
With the nearest neighbours (Å) after each atom.
Positions (direct):
Cd 0.0000 0.5000 0.5000  8 Au 2.97
Cd 0.5000 0.0000 0.5000  8 Au 2.97
Cd 0.5000 0.5000 0.0000  8 Au 2.97
Sn 0.0000 0.0000 0.0000  8 Au 2.97
Au 0.0000 0.0000 0.5000  6 Cd 2.97, 2 Sn 2.97
Au 0.0000 0.5000 0.0000  6 Cd 2.97, 2 Sn 2.97
Au 0.5000 0.0000 0.0000  6 Cd 2.97, 2 Sn 2.97
Au 0.5000 0.5000 0.5000  6 Cd 2.97, 2 Sn 2.97

Calculated values
SG: No. 229
Raw total energy, eV/cell: -20.6
Formation enthalpy at 0 K, eV per atom: -0.10



# 8
DFT (PBE) results for an optimized crystal structure of MnOsRu3.

abc: 4.6900 5.1337 6.6716
angles: 111.71 96.85 101.44
With the nearest neighbours (Å) after each atom.
Positions (direct):
Mn 0.0000 0.0000 0.0000  6 Ru 2.49-2.65, 2 Os 2.55
Mn 0.5000 0.0000 0.5000  6 Ru 2.47-2.64, 2 Os 2.54
Os 0.1318 0.5526 0.1993  2 Mn 2.54-2.55, 6 Ru 2.55-2.82, 1 Os 2.60
Os 0.8682 0.4474 0.8007  2 Mn 2.54-2.55, 6 Ru 2.55-2.82, 1 Os 2.60
Ru 0.0788 0.2503 0.4351  2 Os 2.59-2.66, 2 Mn 2.64-2.65, 6 Ru 2.67-2.84
Ru 0.3344 0.2693 0.8375  2 Mn 2.47-2.49, 3 Os 2.55-2.71, 5 Ru 2.58-2.77
Ru 0.4457 0.7636 0.7847  3 Mn 2.62-2.89, 7 Ru 2.65-2.90, 2 Os 2.82-2.90
Ru 0.5543 0.2364 0.2153  3 Mn 2.62-2.89, 7 Ru 2.65-2.90, 2 Os 2.82-2.90
Ru 0.6656 0.7307 0.1625  2 Mn 2.47-2.49, 3 Os 2.55-2.71, 5 Ru 2.58-2.77
Ru 0.9212 0.7497 0.5649  2 Os 2.59-2.66, 2 Mn 2.64-2.65, 6 Ru 2.67-2.84

Calculated values
SG: No. 2
Raw total energy, eV/cell: -93.9
Formation enthalpy at 0 K, eV per atom: 0.26
Energy above the lowest structure with this stoichiometry, eV/f.u.: 0.00